{"formula": "Li2ZnNi3O6", "functional": "PBE+U", "state": "relaxed", "vol_a3_per_atom": 9.10, "dft_energy_ev_per_atom": -4.78, "spacegroup": "No. 12", "cell": [[6.440, -1.471, 0.000], [6.440, 1.471, 0.000], [-1.394, 0.000, 5.761]], "species": ["Li", "Li", "Zn", "Ni", "Ni", "Ni", "O", "O", "O", "O", "O", "O"], "frac_coords": [[0.170, 0.170, 0.342], [0.830, 0.830, 0.658], [0.500, 0.500, 0.000], [0.168, 0.168, 0.829], [0.500, 0.500, 0.500], [0.832, 0.832, 0.171], [0.001, 0.001, 0.745], [0.333, 0.333, 0.937], [0.338, 0.338, 0.403], [0.662, 0.662, 0.597], [0.667, 0.667, 0.063], [0.999, 0.999, 0.255]]}